Record 1
Here is a relaxed CePm12Er7 crystal from Alexandria via LeMat-Bulk. Energies are from PBE.

The structure belongs to space group R-3 (No. 148, hexagonal axes); the cell edges are 19.5471, 19.5471 and 6.1437 Å and the angles 90.00°, 90.00° and 120.00°. The asymmetric unit holds Ce at (0.0000, 0.0000, 0.0000), Pm at (0.9998, 0.4128, 0.5001), Pm at (0.0970, 0.5483, 0.9725), Er at (0.0000, 0.0000, 0.5000) and Er at (0.0803, 0.1612, 0.7992).

The calculation puts the magnetic moment at 0.02 μB per atom. For the formation energy from the elements, the calculation gives 5.88 kcal/mol of atoms.



Record 2
Here is a relaxed Cd4HgPb crystal from Alexandria via LeMat-Bulk. Energies are from PBE.

The structure belongs to space group F-43m (No. 216); the cell edges are 8.487, 8.487 and 8.487 Å and the angles 90.00°, 90.00° and 90.00°. The asymmetric unit holds Cd at (0.125, 0.125, 0.125), Hg at (0.250, 0.250, 0.750) and Pb at (0.000, 0.000, 0.500).

The calculation puts the magnetic moment at 0.00 μB per atom. For the formation energy from the elements, the calculation gives 1.32 kcal/mol of atoms.



Record 3
Here is a relaxed SrMn3Al crystal from Alexandria via LeMat-Bulk. Energies are from PBE.

The structure belongs to space group Pm-3m (No. 221); the cell edges are 5.072, 5.072 and 5.072 Å and the angles 90.00°, 90.00° and 90.00°. The asymmetric unit holds Sr at (0.000, 0.000, 0.000), Mn at (0.000, 0.000, 0.500) and Al at (0.500, 0.500, 0.500).

The calculation puts the magnetic moment at 2.31 μB per atom. For the formation energy from the elements, the calculation gives 46.43 kcal/mol of atoms.